## CsHfBi2 (GGA-PBE)

Data for CsHfBi2 after structural relaxation.

abc: 8.0070 8.0070 8.0070
angles: 90.00 90.00 90.00
Closest atoms and distances in Å follow each position.
Space group Fm-3m (No. 225)
Symmetry-distinct sites (fractional):
Cs  0.0000  0.0000  0.0000 [4 per cell]  8 Bi 3.47
Hf  0.0000  0.0000  0.5000 [4 per cell]  8 Bi 3.47
Bi  0.2500  0.2500  0.2500 [8 per cell]  4 Hf 3.47, 4 Cs 3.47

- relative energy among the computed polymorphs (meV per atom) = 545
- total energy (eV/atom) = -4.2580
- volume (Å³ per cell) = 513
- calculated density (Mg/m³) = 9.437


## KHfAu3 (GGA-PBE)

Data for KHfAu3 after structural relaxation.

abc: 5.1786 5.1786 5.1786
angles: 90.00 90.00 90.00
Closest atoms and distances in Å follow each position.
Space group Pm-3m (No. 221)
Symmetry-distinct sites (fractional):
K  0.0000  0.0000  0.0000 [1 per cell]  6 Au 2.59
Hf  0.5000  0.5000  0.5000 [1 per cell]  12 Au 3.66
Au  0.0000  0.0000  0.5000 [3 per cell]  2 K 2.59

- relative energy among the computed polymorphs (meV per atom) = 1314
- total energy (eV/atom) = -2.8126
- volume (Å³ per cell) = 139
- calculated density (Mg/m³) = 9.667


## CuAsRu2 (GGA-PBE)

Data for CuAsRu2 after structural relaxation.

abc: 2.8979 3.8042 5.3049
angles: 90.00 103.65 90.00
Closest atoms and distances in Å follow each position.
Space group P2/m (No. 10)
Symmetry-distinct sites (fractional):
Cu  0.0000  0.0000  0.0000 [1 per cell]  2 As 2.65, 8 Ru 2.71-2.77, 2 Cu 2.90
As  0.0000  0.0000  0.5000 [1 per cell]  4 Ru 2.40, 2 Cu 2.65
Ru  0.3682  0.5000  0.7420 [2 per cell]  2 As 2.40, 1 Ru 2.66

- total energy (eV/atom) = -6.6992
- volume (Å³ per cell) = 57
- calculated density (Mg/m³) = 9.952


## LiPuAl2 (GGA-PBE)

Data for LiPuAl2 after structural relaxation.

abc: 5.3408 5.3408 2.8192
angles: 90.00 90.00 90.00
Closest atoms and distances in Å follow each position.
Space group P4/mmm (No. 123)
Symmetry-distinct sites (fractional):
Li  0.0000  0.0000  0.0000 [1 per cell]  2 Li 2.82, 8 Al 3.02
Pu  0.5000  0.5000  0.0000 [1 per cell]  2 Pu 2.82, 8 Al 3.02
Al  0.0000  0.5000  0.5000 [2 per cell]  2 Al 2.82, 4 Pu 3.02, 4 Li 3.02

- relative energy among the computed polymorphs (meV per atom) = 98
- total energy (eV/atom) = -5.9954
- volume (Å³ per cell) = 80
- calculated density (Mg/m³) = 6.296


- What is the formula in the fourth record?
  LiPuAl2


- Among the records above, which one has the lowest volume?
  CuAsRu2